No. 1
First-principles (PBE) data for a relaxed LaTb2Au6 crystal, as listed in the Alexandria database.

a b c (Å): 3.720 7.707 14.737
angles (deg): 90.00 90.00 90.00
Space group Immm (No. 71)
One atom of each set of equivalent atoms:
La1 0.000 0.000 0.000 (multiplicity 2)
Tb1 0.000 0.500 0.142 (multiplicity 4)
Au1 0.000 0.181 0.500 (multiplicity 4)
Au2 0.000 0.311 0.322 (multiplicity 8)

Summary:
- Formation enthalpy at 0 K: -660 kJ/mol of formula units
- Volume: 23.47 Å³/atom
- Total magnetization: 0.0 μB per cell
- DFT total energy: -4.522 eV/atom

No. 2
First-principles (PBE) data for a relaxed LaTb4Au5 crystal, as listed in the Alexandria database.

a b c (Å): 3.616 3.616 18.539
angles (deg): 90.00 90.00 90.00
Space group P4/mmm (No. 123)
One atom of each set of equivalent atoms:
La1 0.000 0.000 0.000 (multiplicity 1)
Tb1 0.000 0.000 0.205 (multiplicity 2)
Tb2 0.000 0.000 0.402 (multiplicity 2)
Au1 0.500 0.500 0.113 (multiplicity 2)
Au2 0.500 0.500 0.304 (multiplicity 2)
Au3 0.500 0.500 0.500 (multiplicity 1)

Summary:
- Formation enthalpy at 0 K: -808 kJ/mol of formula units
- Volume: 24.24 Å³/atom
- Total magnetization: 0.0 μB per cell
- DFT total energy: -4.821 eV/atom

What is the total magnetization in the first record?
0.0 μB per cell

What is the formation enthalpy at 0 K in the second record?
-808 kJ/mol of formula units